Entry i
A plane-wave DFT calculation with GGA-PBE was carried out for a relaxed structure of BiPSe.

The structure in CIF format:
```
data_BiPSe
_chemical_formula_sum 'Bi3 P3 Se3'
_cell_length_a 4.425
_cell_length_b 4.425
_cell_length_c 15.934
_cell_angle_alpha 90.00
_cell_angle_beta 90.00
_cell_angle_gamma 120.00
_space_group_name_H-M_alt 'P 1'
_space_group_IT_number 1
_space_group_name_Hall 'P 1'
loop_
_atom_site_label
_atom_site_type_symbol
_atom_site_fract_x
_atom_site_fract_y
_atom_site_fract_z
Bi1 Bi 0.000 0.000 0.236
Bi2 Bi 0.333 0.667 0.903
Bi3 Bi 0.667 0.333 0.570
P1 P 0.000 0.000 0.824
P2 P 0.333 0.667 0.490
P3 P 0.667 0.333 0.157
Se1 Se 0.000 0.000 0.682
Se2 Se 0.333 0.667 0.349
Se3 Se 0.667 0.333 0.015
```

Values from the calculation:
Space group   R3m (160)
Volume   30.0 Å³/atom

---

Entry ii
A plane-wave DFT calculation with GGA-PBE was carried out for a relaxed structure of BiPSe.

The structure in CIF format:
```
data_BiPSe
_chemical_formula_sum 'Bi1 P1 Se1'
_cell_length_a 4.186
_cell_length_b 4.317
_cell_length_c 5.340
_cell_angle_alpha 72.33
_cell_angle_beta 71.08
_cell_angle_gamma 87.82
_space_group_name_H-M_alt 'P 1'
_space_group_IT_number 1
_space_group_name_Hall 'P 1'
loop_
_atom_site_label
_atom_site_type_symbol
_atom_site_fract_x
_atom_site_fract_y
_atom_site_fract_z
Bi1 Bi 0.664 0.809 0.807
P1 P 0.112 0.205 0.862
Se1 Se 0.960 0.291 0.285
```

Values from the calculation:
Space group   P1 (1)
Volume   28.9 Å³/atom

---

Entry iii
A plane-wave DFT calculation with GGA-PBE was carried out for a relaxed structure of BiPSe.

The structure in CIF format:
```
data_BiPSe
_chemical_formula_sum 'Bi2 P2 Se2'
_cell_length_a 4.203
_cell_length_b 5.369
_cell_length_c 8.177
_cell_angle_alpha 102.41
_cell_angle_beta 90.80
_cell_angle_gamma 110.19
_space_group_name_H-M_alt 'P 1'
_space_group_IT_number 1
_space_group_name_Hall 'P 1'
loop_
_atom_site_label
_atom_site_type_symbol
_atom_site_fract_x
_atom_site_fract_y
_atom_site_fract_z
Bi1 Bi 0.921 0.011 0.573
Bi2 Bi 0.257 0.675 0.011
P1 P 0.867 0.945 0.203
P2 P 0.884 0.361 0.222
Se1 Se 0.505 0.201 0.820
Se2 Se 0.190 0.562 0.484
```

Values from the calculation:
Space group   P1 (1)
Volume   28.1 Å³/atom

---

Ranked by calculated energy, most stable first: entry iii, entry i, entry ii.

---

Entry i
A plane-wave DFT calculation with GGA-PBE was carried out for a relaxed structure of Sm3Bi2P.

The structure in CIF format:
```
data_Sm3Bi2P
_chemical_formula_sum 'Sm6 Bi4 P2'
_cell_length_a 4.334
_cell_length_b 4.334
_cell_length_c 22.669
_cell_angle_alpha 90.00
_cell_angle_beta 90.00
_cell_angle_gamma 120.00
_space_group_name_H-M_alt 'P 1'
_space_group_IT_number 1
_space_group_name_Hall 'P 1'
loop_
_atom_site_label
_atom_site_type_symbol
_atom_site_fract_x
_atom_site_fract_y
_atom_site_fract_z
Sm1 Sm 0.000 0.000 0.000
Sm2 Sm 0.333 0.667 0.174
Sm3 Sm 0.333 0.667 0.326
Sm4 Sm 0.000 0.000 0.500
Sm5 Sm 0.667 0.333 0.674
Sm6 Sm 0.667 0.333 0.826
Bi1 Bi 0.333 0.667 0.914
Bi2 Bi 0.667 0.333 0.086
Bi3 Bi 0.667 0.333 0.414
Bi4 Bi 0.333 0.667 0.586
P1 P 0.000 0.000 0.250
P2 P 0.000 0.000 0.750
```

Values from the calculation:
Space group   P6_3/mmc (194)
Volume   30.7 Å³/atom

---

Entry ii
A plane-wave DFT calculation with GGA-PBE was carried out for a relaxed structure of Sm3Bi2P.

The structure in CIF format:
```
data_Sm3Bi2P
_chemical_formula_sum 'Sm6 Bi4 P2'
_cell_length_a 7.557
_cell_length_b 7.647
_cell_length_c 7.647
_cell_angle_alpha 119.27
_cell_angle_beta 99.56
_cell_angle_gamma 99.56
_space_group_name_H-M_alt 'P 1'
_space_group_IT_number 1
_space_group_name_Hall 'P 1'
loop_
_atom_site_label
_atom_site_type_symbol
_atom_site_fract_x
_atom_site_fract_y
_atom_site_fract_z
Sm1 Sm 0.003 0.205 0.355
Sm2 Sm 0.503 0.355 0.205
Sm3 Sm 0.000 0.500 0.000
Sm4 Sm 0.997 0.795 0.645
Sm5 Sm 0.500 0.000 0.500
Sm6 Sm 0.497 0.645 0.795
Bi1 Bi 0.250 0.918 0.082
Bi2 Bi 0.250 0.242 0.758
Bi3 Bi 0.750 0.082 0.918
Bi4 Bi 0.750 0.758 0.242
P1 P 0.250 0.585 0.415
P2 P 0.750 0.415 0.585
```

Values from the calculation:
Space group   C2/c (15)
Volume   30.3 Å³/atom

---

Ranked by calculated energy, most stable first: entry ii, entry i.

---

Entry i
A plane-wave DFT calculation with GGA-PBE was carried out for a relaxed structure of SnBiP2.

The structure in CIF format:
```
data_SnBiP2
_chemical_formula_sum 'Sn1 Bi1 P2'
_cell_length_a 4.055
_cell_length_b 4.055
_cell_length_c 6.964
_cell_angle_alpha 73.07
_cell_angle_beta 73.07
_cell_angle_gamma 60.00
_space_group_name_H-M_alt 'P 1'
_space_group_IT_number 1
_space_group_name_Hall 'P 1'
loop_
_atom_site_label
_atom_site_type_symbol
_atom_site_fract_x
_atom_site_fract_y
_atom_site_fract_z
P1 P 0.245 0.245 0.264
P2 P 0.755 0.755 0.736
Bi1 Bi 0.000 0.000 0.000
Sn1 Sn 0.500 0.500 0.500
```

Values from the calculation:
Space group   R-3m (166)
Volume   23.4 Å³/atom

---

Entry ii
A plane-wave DFT calculation with GGA-PBE was carried out for a relaxed structure of SnBiP2.

The structure in CIF format:
```
data_SnBiP2
_chemical_formula_sum 'Sn1 Bi1 P2'
_cell_length_a 4.974
_cell_length_b 4.974
_cell_length_c 4.974
_cell_angle_alpha 60.00
_cell_angle_beta 60.00
_cell_angle_gamma 60.00
_space_group_name_H-M_alt 'P 1'
_space_group_IT_number 1
_space_group_name_Hall 'P 1'
loop_
_atom_site_label
_atom_site_type_symbol
_atom_site_fract_x
_atom_site_fract_y
_atom_site_fract_z
P1 P 0.250 0.250 0.250
P2 P 0.750 0.750 0.750
Bi1 Bi 0.500 0.500 0.500
Sn1 Sn 0.000 0.000 0.000
```

Values from the calculation:
Space group   Fm-3m (225)
Volume   21.8 Å³/atom

---

Entry iii
A plane-wave DFT calculation with GGA-PBE was carried out for a relaxed structure of SnBiP2.

The structure in CIF format:
```
data_SnBiP2
_chemical_formula_sum 'Sn2 Bi2 P4'
_cell_length_a 6.902
_cell_length_b 6.902
_cell_length_c 6.790
_cell_angle_alpha 59.45
_cell_angle_beta 59.45
_cell_angle_gamma 90.00
_space_group_name_H-M_alt 'P 1'
_space_group_IT_number 1
_space_group_name_Hall 'P 1'
loop_
_atom_site_label
_atom_site_type_symbol
_atom_site_fract_x
_atom_site_fract_y
_atom_site_fract_z
P1 P 0.600 0.125 0.250
P2 P 0.150 0.625 0.250
P3 P 0.375 0.400 0.750
P4 P 0.875 0.850 0.750
Bi1 Bi 0.000 0.000 0.000
Bi2 Bi 0.750 0.250 0.500
Sn1 Sn 0.500 0.500 0.000
Sn2 Sn 0.250 0.750 0.500
```

Values from the calculation:
Space group   I-42d (122)
Volume   28.1 Å³/atom

---

Ranked by calculated energy, most stable first: entry i, entry iii, entry ii.

---

Entry i
A plane-wave DFT calculation with GGA-PBE was carried out for a relaxed structure of Sn3BiP.

The structure in CIF format:
```
data_Sn3BiP
_chemical_formula_sum 'Sn3 Bi1 P1'
_cell_length_a 5.844
_cell_length_b 5.844
_cell_length_c 5.844
_cell_angle_alpha 90.00
_cell_angle_beta 90.00
_cell_angle_gamma 90.00
_space_group_name_H-M_alt 'P 1'
_space_group_IT_number 1
_space_group_name_Hall 'P 1'
loop_
_atom_site_label
_atom_site_type_symbol
_atom_site_fract_x
_atom_site_fract_y
_atom_site_fract_z
P1 P 0.500 0.500 0.500
Bi1 Bi 0.000 0.000 0.000
Sn1 Sn 0.000 0.500 0.000
Sn2 Sn 0.000 0.000 0.500
Sn3 Sn 0.500 0.000 0.000
```

Values from the calculation:
Space group   Pm-3m (221)
Volume   39.9 Å³/atom

---

Entry ii
A plane-wave DFT calculation with GGA-PBE was carried out for a relaxed structure of Sn3BiP.

The structure in CIF format:
```
data_Sn3BiP
_chemical_formula_sum 'Sn3 Bi1 P1'
_cell_length_a 5.296
_cell_length_b 5.296
_cell_length_c 5.296
_cell_angle_alpha 90.00
_cell_angle_beta 90.00
_cell_angle_gamma 90.00
_space_group_name_H-M_alt 'P 1'
_space_group_IT_number 1
_space_group_name_Hall 'P 1'
loop_
_atom_site_label
_atom_site_type_symbol
_atom_site_fract_x
_atom_site_fract_y
_atom_site_fract_z
P1 P 0.000 0.000 0.000
Bi1 Bi 0.500 0.500 0.500
Sn1 Sn 0.000 0.500 0.000
Sn2 Sn 0.000 0.000 0.500
Sn3 Sn 0.500 0.000 0.000
```

Values from the calculation:
Space group   Pm-3m (221)
Volume   29.7 Å³/atom

---

Ranked by calculated energy, most stable first: entry ii, entry i.

---

Entry i
A plane-wave DFT calculation with GGA-PBE was carried out for a relaxed structure of SnBi2P.

The structure in CIF format:
```
data_SnBi2P
_chemical_formula_sum 'Sn2 Bi4 P2'
_cell_length_a 6.311
_cell_length_b 6.311
_cell_length_c 8.732
_cell_angle_alpha 68.81
_cell_angle_beta 68.81
_cell_angle_gamma 90.00
_space_group_name_H-M_alt 'P 1'
_space_group_IT_number 1
_space_group_name_Hall 'P 1'
loop_
_atom_site_label
_atom_site_type_symbol
_atom_site_fract_x
_atom_site_fract_y
_atom_site_fract_z
P1 P 0.500 0.500 0.000
P2 P 0.250 0.750 0.500
Bi1 Bi 0.584 0.125 0.250
Bi2 Bi 0.166 0.625 0.250
Bi3 Bi 0.375 0.416 0.750
Bi4 Bi 0.875 0.834 0.750
Sn1 Sn 0.000 0.000 0.000
Sn2 Sn 0.750 0.250 0.500
```

Values from the calculation:
Space group   I-42d (122)
Volume   37.4 Å³/atom

---

Entry ii
A plane-wave DFT calculation with GGA-PBE was carried out for a relaxed structure of SnBi2P.

The structure in CIF format:
```
data_SnBi2P
_chemical_formula_sum 'Sn1 Bi2 P1'
_cell_length_a 4.021
_cell_length_b 4.021
_cell_length_c 8.815
_cell_angle_alpha 76.82
_cell_angle_beta 76.82
_cell_angle_gamma 60.00
_space_group_name_H-M_alt 'P 1'
_space_group_IT_number 1
_space_group_name_Hall 'P 1'
loop_
_atom_site_label
_atom_site_type_symbol
_atom_site_fract_x
_atom_site_fract_y
_atom_site_fract_z
Sn1 Sn 0.507 0.507 0.479
Bi1 Bi 0.066 0.066 0.802
Bi2 Bi 0.253 0.253 0.242
P1 P 0.674 0.674 0.977
```

Values from the calculation:
Space group   R3m (160)
Volume   29.8 Å³/atom

---

Entry iii
A plane-wave DFT calculation with GGA-PBE was carried out for a relaxed structure of SnBi2P.

The structure in CIF format:
```
data_SnBi2P
_chemical_formula_sum 'Sn1 Bi2 P1'
_cell_length_a 5.314
_cell_length_b 5.314
_cell_length_c 5.314
_cell_angle_alpha 60.00
_cell_angle_beta 60.00
_cell_angle_gamma 60.00
_space_group_name_H-M_alt 'P 1'
_space_group_IT_number 1
_space_group_name_Hall 'P 1'
loop_
_atom_site_label
_atom_site_type_symbol
_atom_site_fract_x
_atom_site_fract_y
_atom_site_fract_z
P1 P 0.000 0.000 0.000
Bi1 Bi 0.250 0.250 0.250
Bi2 Bi 0.750 0.750 0.750
Sn1 Sn 0.500 0.500 0.500
```

Values from the calculation:
Space group   Fm-3m (225)
Volume   26.5 Å³/atom

---

Ranked by calculated energy, most stable first: entry ii, entry i, entry iii.

---

Entry i
A plane-wave DFT calculation with GGA-PBE was carried out for a relaxed structure of Sn2BiP.

The structure in CIF format:
```
data_Sn2BiP
_chemical_formula_sum 'Sn2 Bi1 P1'
_cell_length_a 3.895
_cell_length_b 3.895
_cell_length_c 8.493
_cell_angle_alpha 76.74
_cell_angle_beta 76.74
_cell_angle_gamma 60.00
_space_group_name_H-M_alt 'P 1'
_space_group_IT_number 1
_space_group_name_Hall 'P 1'
loop_
_atom_site_label
_atom_site_type_symbol
_atom_site_fract_x
_atom_site_fract_y
_atom_site_fract_z
Sn1 Sn 0.068 0.068 0.795
Sn2 Sn 0.268 0.268 0.195
Bi1 Bi 0.497 0.497 0.510
P1 P 0.667 0.667 0.000
```

Values from the calculation:
Space group   R3m (160)
Volume   26.9 Å³/atom

---

Entry ii
A plane-wave DFT calculation with GGA-PBE was carried out for a relaxed structure of Sn2BiP.

The structure in CIF format:
```
data_Sn2BiP
_chemical_formula_sum 'Sn4 Bi2 P2'
_cell_length_a 7.516
_cell_length_b 7.516
_cell_length_c 6.760
_cell_angle_alpha 56.23
_cell_angle_beta 56.23
_cell_angle_gamma 90.00
_space_group_name_H-M_alt 'P 1'
_space_group_IT_number 1
_space_group_name_Hall 'P 1'
loop_
_atom_site_label
_atom_site_type_symbol
_atom_site_fract_x
_atom_site_fract_y
_atom_site_fract_z
P1 P 0.500 0.500 0.000
P2 P 0.250 0.750 0.500
Bi1 Bi 0.000 0.000 0.000
Bi2 Bi 0.750 0.250 0.500
Sn1 Sn 0.576 0.125 0.250
Sn2 Sn 0.174 0.625 0.250
Sn3 Sn 0.375 0.424 0.750
Sn4 Sn 0.875 0.826 0.750
```

Values from the calculation:
Space group   I-42d (122)
Volume   29.5 Å³/atom

---

Entry iii
A plane-wave DFT calculation with GGA-PBE was carried out for a relaxed structure of Sn2BiP.

The structure in CIF format:
```
data_Sn2BiP
_chemical_formula_sum 'Sn2 Bi1 P1'
_cell_length_a 5.235
_cell_length_b 5.235
_cell_length_c 5.235
_cell_angle_alpha 60.00
_cell_angle_beta 60.00
_cell_angle_gamma 60.00
_space_group_name_H-M_alt 'P 1'
_space_group_IT_number 1
_space_group_name_Hall 'P 1'
loop_
_atom_site_label
_atom_site_type_symbol
_atom_site_fract_x
_atom_site_fract_y
_atom_site_fract_z
P1 P 0.000 0.000 0.000
Bi1 Bi 0.500 0.500 0.500
Sn1 Sn 0.250 0.250 0.250
Sn2 Sn 0.750 0.750 0.750
```

Values from the calculation:
Space group   Fm-3m (225)
Volume   25.4 Å³/atom

---

Ranked by calculated energy, most stable first: entry i, entry ii, entry iii.